A.
First-principles (PBE) data for crystalline HfAg2Os at its relaxed geometry, as listed in the Alexandria database.

Computed properties:
space-group type: No. 225
volume: 70 Å³/f.u.
magnetization: 0.00 μB/f.u.

abc: 4.6198 4.6198 4.6198
angles: 60.00 60.00 60.00
Fractional coordinates of all 4 atoms:
Os (0.5000, 0.5000, 0.5000)
Hf (0.0000, 0.0000, 0.0000)
Ag (0.7500, 0.7500, 0.7500)
Ag (0.2500, 0.2500, 0.2500)

=====

B.
First-principles (PBE) data for crystalline HfAg2Os at its relaxed geometry, as listed in the Alexandria database.

Computed properties:
space-group type: No. 122
volume: 75 Å³/f.u.
magnetization: 0.00 μB/f.u.

abc: 3.8079 3.8079 10.6769
angles: 79.73 79.73 90.00
Fractional coordinates of all 8 atoms:
Os (0.0000, 0.0000, 0.0000)
Ag (0.6335, 0.1250, 0.2500)
Ag (0.3750, 0.3665, 0.7500)
Ag (0.1165, 0.6250, 0.2500)
Hf (0.5000, 0.5000, 0.0000)
Os (0.7500, 0.2500, 0.5000)
Hf (0.2500, 0.7500, 0.5000)
Ag (0.8750, 0.8835, 0.7500)

=====

Least stable of them? A.

=====

A.
First-principles (PBE) data for crystalline HfAgP3 at its relaxed geometry, as listed in the Alexandria database.

Computed properties:
space-group type: No. 221
volume: 122 Å³/f.u.
magnetization: 0.00 μB/f.u.

abc: 4.9653 4.9653 4.9653
angles: 90.00 90.00 90.00
Fractional coordinates of all 5 atoms:
P (0.0000, 0.0000, 0.5000)
Hf (0.0000, 0.0000, 0.0000)
P (0.0000, 0.5000, 0.0000)
Ag (0.5000, 0.5000, 0.5000)
P (0.5000, 0.0000, 0.0000)

=====

B.
First-principles (PBE) data for crystalline HfAgP3 at its relaxed geometry, as listed in the Alexandria database.

Computed properties:
space-group type: No. 221
volume: 103 Å³/f.u.
magnetization: 0.00 μB/f.u.

abc: 4.6942 4.6942 4.6942
angles: 90.00 90.00 90.00
Fractional coordinates of all 5 atoms:
P (0.0000, 0.5000, 0.0000)
Ag (0.0000, 0.0000, 0.0000)
P (0.0000, 0.0000, 0.5000)
P (0.5000, 0.0000, 0.0000)
Hf (0.5000, 0.5000, 0.5000)

=====

Least stable of them? B.

=====

A.
First-principles (PBE) data for crystalline Hf3AgP at its relaxed geometry, as listed in the Alexandria database.

Computed properties:
space-group type: No. 221
volume: 128 Å³/f.u.
magnetization: 0.00 μB/f.u.

abc: 5.0374 5.0374 5.0374
angles: 90.00 90.00 90.00
Fractional coordinates of all 5 atoms:
Ag (0.0000, 0.0000, 0.0000)
Hf (0.0000, 0.5000, 0.0000)
Hf (0.0000, 0.0000, 0.5000)
Hf (0.5000, 0.0000, 0.0000)
P (0.5000, 0.5000, 0.5000)

=====

B.
First-principles (PBE) data for crystalline Hf3AgP at its relaxed geometry, as listed in the Alexandria database.

Computed properties:
space-group type: No. 221
volume: 110 Å³/f.u.
magnetization: 0.00 μB/f.u.

abc: 4.7954 4.7954 4.7954
angles: 90.00 90.00 90.00
Fractional coordinates of all 5 atoms:
Hf (0.0000, 0.0000, 0.5000)
Ag (0.5000, 0.5000, 0.5000)
Hf (0.0000, 0.5000, 0.0000)
P (0.0000, 0.0000, 0.0000)
Hf (0.5000, 0.0000, 0.0000)

=====

Least stable of them? A.

=====

A.
First-principles (PBE) data for crystalline HfAgP2 at its relaxed geometry, as listed in the Alexandria database.

Computed properties:
space-group type: No. 225
volume: 68 Å³/f.u.
magnetization: 0.00 μB/f.u.

abc: 4.5810 4.5810 4.5810
angles: 60.00 60.00 60.00
Fractional coordinates of all 4 atoms:
P (0.2500, 0.2500, 0.2500)
P (0.7500, 0.7500, 0.7500)
Hf (0.5000, 0.5000, 0.5000)
Ag (0.0000, 0.0000, 0.0000)

=====

B.
First-principles (PBE) data for crystalline HfAgP2 at its relaxed geometry, as listed in the Alexandria database.

Computed properties:
space-group type: No. 122
volume: 94 Å³/f.u.
magnetization: 0.00 μB/f.u.

abc: 6.1570 6.1570 6.6172
angles: 62.28 62.28 90.00
Fractional coordinates of all 8 atoms:
Hf (0.7500, 0.2500, 0.5000)
P (0.6249, 0.1250, 0.2500)
Hf (0.0000, 0.0000, 0.0000)
Ag (0.5000, 0.5000, 0.0000)
P (0.1251, 0.6250, 0.2500)
Ag (0.2500, 0.7500, 0.5000)
P (0.8750, 0.8749, 0.7500)
P (0.3750, 0.3751, 0.7500)

=====

Least stable of them? B.

=====

A.
First-principles (PBE) data for crystalline HfPaAg at its relaxed geometry, as listed in the Alexandria database.

Computed properties:
space-group type: No. 129
volume: 65 Å³/f.u.
magnetization: 0.00 μB/f.u.

abc: 3.3506 3.3506 11.5809
angles: 90.00 90.00 90.00
Fractional coordinates of all 6 atoms:
Pa (0.5000, 0.0000, 0.0967)
Hf (0.0000, 0.5000, 0.2824)
Ag (0.5000, 0.0000, 0.4298)
Ag (0.0000, 0.5000, 0.5702)
Pa (0.0000, 0.5000, 0.9033)
Hf (0.5000, 0.0000, 0.7176)

=====

B.
First-principles (PBE) data for crystalline HfPaAg at its relaxed geometry, as listed in the Alexandria database.

Computed properties:
space-group type: No. 107
volume: 66 Å³/f.u.
magnetization: 0.00 μB/f.u.

abc: 3.0790 3.0790 7.3007
angles: 102.17 102.17 90.00
Fractional coordinates of all 3 atoms:
Hf (0.3268, 0.3268, 0.6536)
Ag (0.6754, 0.6754, 0.3509)
Pa (0.9978, 0.9978, 0.9955)

=====

Least stable of them? B.

=====

A.
First-principles (PBE) data for crystalline Hf2AgPb2 at its relaxed geometry, as listed in the Alexandria database.

Computed properties:
space-group type: No. 127
volume: 121 Å³/f.u.
magnetization: 0.00 μB/f.u.

abc: 7.4968 7.4968 4.3118
angles: 90.00 90.00 90.00
Fractional coordinates of all 10 atoms:
Pb (0.6684, 0.8316, 0.5000)
Pb (0.3316, 0.1684, 0.5000)
Hf (0.8606, 0.6394, 0.0000)
Hf (0.6394, 0.1394, 0.0000)
Ag (0.0000, 0.0000, 0.0000)
Hf (0.3606, 0.8606, 0.0000)
Hf (0.1394, 0.3606, 0.0000)
Ag (0.5000, 0.5000, 0.0000)
Pb (0.8316, 0.3316, 0.5000)
Pb (0.1684, 0.6684, 0.5000)

=====

B.
First-principles (PBE) data for crystalline Hf2AgPb2 at its relaxed geometry, as listed in the Alexandria database.

Computed properties:
space-group type: No. 127
volume: 122 Å³/f.u.
magnetization: 0.00 μB/f.u.

abc: 8.5749 8.5749 3.3144
angles: 90.00 90.00 90.00
Fractional coordinates of all 10 atoms:
Ag (0.5000, 0.5000, 0.0000)
Hf (0.1294, 0.6294, 0.5000)
Pb (0.6680, 0.1680, 0.0000)
Ag (0.0000, 0.0000, 0.0000)
Hf (0.8706, 0.3706, 0.5000)
Pb (0.3320, 0.8320, 0.0000)
Pb (0.1680, 0.3320, 0.0000)
Pb (0.8320, 0.6680, 0.0000)
Hf (0.3706, 0.1294, 0.5000)
Hf (0.6294, 0.8706, 0.5000)

=====

Least stable of them? B.

=====

A.
First-principles (PBE) data for crystalline HfAgPd at its relaxed geometry, as listed in the Alexandria database.

Computed properties:
space-group type: No. 63
volume: 54 Å³/f.u.
magnetization: 0.00 μB/f.u.

abc: 4.9430 4.9436 5.0463
angles: 90.00 119.33 90.00
Fractional coordinates of all 6 atoms:
Hf (0.8885, 0.6275, 0.8366)
Ag (0.5541, 0.6275, 0.1677)
Hf (0.3689, 0.1275, 0.7970)
Pd (0.0312, 0.1275, 0.1216)
Ag (0.7033, 0.1275, 0.4658)
Pd (0.2262, 0.6275, 0.5120)

=====

B.
First-principles (PBE) data for crystalline HfAgPd at its relaxed geometry, as listed in the Alexandria database.

Computed properties:
space-group type: No. 43
volume: 54 Å³/f.u.
magnetization: 0.00 μB/f.u.

abc: 4.9797 4.9797 5.5866
angles: 103.29 103.29 118.97
Fractional coordinates of all 6 atoms:
Ag (0.7825, 0.2175, 0.5000)
Pd (0.3672, 0.6328, 0.0000)
Hf (0.4437, 0.5563, 0.5000)
Ag (0.0325, 0.9675, 0.0000)
Hf (0.6937, 0.3063, 0.0000)
Pd (0.1172, 0.8828, 0.5000)

=====

C.
First-principles (PBE) data for crystalline HfAgPd at its relaxed geometry, as listed in the Alexandria database.

Computed properties:
space-group type: No. 107
volume: 54 Å³/f.u.
magnetization: 0.00 μB/f.u.

abc: 3.4965 3.4965 5.0522
angles: 110.25 110.25 90.00
Fractional coordinates of all 3 atoms:
Ag (0.6161, 0.6161, 0.2322)
Pd (0.9425, 0.9425, 0.8850)
Hf (0.2914, 0.2914, 0.5827)

=====

Least stable of them? B.

=====

A.
First-principles (PBE) data for crystalline HfAgPd at its relaxed geometry, as listed in the Alexandria database.

Computed properties:
space-group type: No. 12
volume: 54 Å³/f.u.
magnetization: 0.00 μB/f.u.

abc: 7.1706 3.4443 9.4570
angles: 90.00 112.38 90.00
Fractional coordinates of all 12 atoms:
Ag (0.0785, 0.5000, 0.1648)
Hf (0.2721, 0.5000, 0.5077)
Ag (0.0785, 0.0000, 0.6648)
Ag (0.9215, 0.5000, 0.8352)
Pd (0.5864, 0.5000, 0.1637)
Pd (0.4136, 0.5000, 0.8363)
Ag (0.9215, 0.0000, 0.3352)
Hf (0.7279, 0.5000, 0.4923)
Pd (0.4136, 0.0000, 0.3363)
Pd (0.5864, 0.0000, 0.6637)
Hf (0.7279, 0.0000, 0.9923)
Hf (0.2721, 0.0000, 0.0077)

=====

B.
First-principles (PBE) data for crystalline HfAgPd at its relaxed geometry, as listed in the Alexandria database.

Computed properties:
space-group type: No. 2
volume: 55 Å³/f.u.
magnetization: 0.00 μB/f.u.

abc: 3.3382 6.0696 7.2366
angles: 51.69 103.42 105.94
Fractional coordinates of all 6 atoms:
Ag (0.3298, 0.2526, 0.9057)
Pd (0.9987, 0.7456, 0.7501)
Pd (0.0013, 0.2544, 0.2499)
Hf (0.6502, 0.2199, 0.5804)
Ag (0.6702, 0.7474, 0.0943)
Hf (0.3498, 0.7801, 0.4196)

=====

C.
First-principles (PBE) data for crystalline HfAgPd at its relaxed geometry, as listed in the Alexandria database.

Computed properties:
space-group type: No. 63
volume: 55 Å³/f.u.
magnetization: 0.00 μB/f.u.

abc: 3.3935 14.1556 4.5447
angles: 90.00 90.00 90.00
Fractional coordinates of all 12 atoms:
Pd (0.5000, 0.4364, 0.2500)
Hf (0.0000, 0.5909, 0.2500)
Ag (0.5000, 0.7669, 0.2500)
Hf (0.0000, 0.4091, 0.7500)
Pd (0.0000, 0.0636, 0.7500)
Pd (0.5000, 0.5636, 0.7500)
Pd (0.0000, 0.9364, 0.2500)
Ag (0.0000, 0.2669, 0.2500)
Hf (0.5000, 0.0909, 0.2500)
Ag (0.5000, 0.2331, 0.7500)
Ag (0.0000, 0.7331, 0.7500)
Hf (0.5000, 0.9091, 0.7500)

=====

D.
First-principles (PBE) data for crystalline HfAgPd at its relaxed geometry, as listed in the Alexandria database.

Computed properties:
space-group type: No. 156
volume: 54 Å³/f.u.
magnetization: 0.00 μB/f.u.

abc: 2.8908 4.6249 4.6249
angles: 120.00 90.00 90.00
Fractional coordinates of all 3 atoms:
Ag (0.3746, 0.6667, 0.3333)
Hf (0.9670, 0.0000, 0.0000)
Pd (0.6584, 0.3333, 0.6667)

=====

Least stable of them? D.

=====

A.
First-principles (PBE) data for crystalline HfAgPd6 at its relaxed geometry, as listed in the Alexandria database.

Computed properties:
space-group type: No. 123
volume: 129 Å³/f.u.
magnetization: 0.00 μB/f.u.

abc: 3.9999 3.9999 8.0599
angles: 90.00 90.00 90.00
Fractional coordinates of all 8 atoms:
Pd (0.0000, 0.5000, 0.2557)
Pd (0.5000, 0.0000, 0.7443)
Pd (0.5000, 0.5000, 0.5000)
Pd (0.0000, 0.5000, 0.7443)
Ag (0.0000, 0.0000, 0.0000)
Hf (0.0000, 0.0000, 0.5000)
Pd (0.5000, 0.0000, 0.2557)
Pd (0.5000, 0.5000, 0.0000)

=====

B.
First-principles (PBE) data for crystalline HfAgPd6 at its relaxed geometry, as listed in the Alexandria database.

Computed properties:
space-group type: No. 2
volume: 133 Å³/f.u.
magnetization: 0.00 μB/f.u.

abc: 6.9643 7.5644 5.1411
angles: 42.35 47.28 56.72
Fractional coordinates of all 8 atoms:
Pd (0.9559, 0.4651, 0.8280)
Pd (0.5369, 0.7509, 0.6660)
Pd (0.2485, 0.0432, 0.2438)
Hf (0.5000, 0.5000, 0.5000)
Pd (0.0441, 0.5349, 0.1720)
Pd (0.4631, 0.2491, 0.3340)
Pd (0.7515, 0.9568, 0.7562)
Ag (0.0000, 0.0000, 0.0000)

=====

Least stable of them? B.

=====

A.
First-principles (PBE) data for crystalline HfAgPd3 at its relaxed geometry, as listed in the Alexandria database.

Computed properties:
space-group type: No. 12
volume: 102 Å³/f.u.
magnetization: 0.00 μB/f.u.

abc: 2.9827 7.9072 9.3832
angles: 109.26 90.00 100.87
Fractional coordinates of all 10 atoms:
Ag (0.0945, 0.1889, 0.8379)
Pd (0.0728, 0.1455, 0.1271)
Pd (0.2833, 0.5666, 0.9003)
Hf (0.6640, 0.3280, 0.3571)
Pd (0.7167, 0.4334, 0.0997)
Ag (0.9055, 0.8111, 0.1621)
Pd (0.9272, 0.8545, 0.8729)
Pd (0.1609, 0.3218, 0.5954)
Hf (0.3360, 0.6720, 0.6429)
Pd (0.8391, 0.6782, 0.4046)

=====

B.
First-principles (PBE) data for crystalline HfAgPd3 at its relaxed geometry, as listed in the Alexandria database.

Computed properties:
space-group type: No. 59
volume: 92 Å³/f.u.
magnetization: 0.00 μB/f.u.

abc: 4.3671 5.5841 7.5156
angles: 90.00 90.00 90.00
Fractional coordinates of all 10 atoms:
Ag (0.0000, 0.0000, 0.5541)
Pd (0.0000, 0.0000, 0.9172)
Pd (0.5000, 0.7575, 0.7590)
Hf (0.5000, 0.0000, 0.1339)
Hf (0.0000, 0.5000, 0.8661)
Ag (0.5000, 0.5000, 0.4459)
Pd (0.5000, 0.5000, 0.0828)
Pd (0.0000, 0.7425, 0.2410)
Pd (0.5000, 0.2425, 0.7590)
Pd (0.0000, 0.2575, 0.2410)

=====

C.
First-principles (PBE) data for crystalline HfAgPd3 at its relaxed geometry, as listed in the Alexandria database.

Computed properties:
space-group type: No. 221
volume: 115 Å³/f.u.
magnetization: 0.00 μB/f.u.

abc: 4.8662 4.8662 4.8662
angles: 90.00 90.00 90.00
Fractional coordinates of all 5 atoms:
Pd (0.0000, 0.0000, 0.5000)
Pd (0.5000, 0.0000, 0.0000)
Hf (0.0000, 0.0000, 0.0000)
Ag (0.5000, 0.5000, 0.5000)
Pd (0.0000, 0.5000, 0.0000)

=====

Least stable of them? C.

=====

A.
First-principles (PBE) data for crystalline HfAg2Pd2 at its relaxed geometry, as listed in the Alexandria database.

Computed properties:
space-group type: No. 127
volume: 89 Å³/f.u.
magnetization: 0.00 μB/f.u.

abc: 7.6002 7.6002 3.0839
angles: 90.00 90.00 90.00
Fractional coordinates of all 10 atoms:
Pd (0.1721, 0.6721, 0.5000)
Ag (0.8733, 0.6267, 0.0000)
Ag (0.1267, 0.3733, 0.0000)
Pd (0.3279, 0.1721, 0.5000)
Pd (0.6721, 0.8279, 0.5000)
Hf (0.0000, 0.0000, 0.0000)
Ag (0.6267, 0.1267, 0.0000)
Hf (0.5000, 0.5000, 0.0000)
Pd (0.8279, 0.3279, 0.5000)
Ag (0.3733, 0.8733, 0.0000)

=====

B.
First-principles (PBE) data for crystalline HfAg2Pd2 at its relaxed geometry, as listed in the Alexandria database.

Computed properties:
space-group type: No. 127
volume: 91 Å³/f.u.
magnetization: 0.00 μB/f.u.

abc: 6.9179 6.9179 3.8201
angles: 90.00 90.00 90.00
Fractional coordinates of all 10 atoms:
Pd (0.3604, 0.8604, 0.0000)
Hf (0.5000, 0.5000, 0.0000)
Ag (0.3410, 0.1590, 0.5000)
Pd (0.6396, 0.1396, 0.0000)
Pd (0.8604, 0.6396, 0.0000)
Ag (0.8410, 0.3410, 0.5000)
Ag (0.1590, 0.6590, 0.5000)
Pd (0.1396, 0.3604, 0.0000)
Ag (0.6590, 0.8410, 0.5000)
Hf (0.0000, 0.0000, 0.0000)

=====

Least stable of them? A.